# AcCu4SbP2

Crystalline AcCu4SbP2 at its relaxed geometry (PBE-GGA, Alexandria).

Values from the calculation:
Uncorrected formation energy ... -0.4047 eV/atom
E_tot ... -4.83 eV per atom

Lattice parameters (Å, degrees): 3.8989 3.8989 9.6761 90.00 90.00 90.00
Space group P4/mmm (No. 123)
One atom of each set of equivalent atoms:
Ac  0.0000  0.0000  0.0000 [1 per cell]
Cu  0.0000  0.5000  0.3039 [4 per cell]
Sb  0.0000  0.0000  0.5000 [1 per cell]
P  0.5000  0.5000  0.1736 [2 per cell]

# K5IBr2O

Crystalline K5IBr2O at its relaxed geometry (PBE-GGA, Alexandria).

Values from the calculation:
Uncorrected formation energy ... -1.4702 eV/atom
E_tot ... -3.17 eV per atom

Lattice parameters (Å, degrees): 5.2261 7.8541 15.6633 90.00 90.00 90.00
Space group Immm (No. 71)
One atom of each set of equivalent atoms:
K  0.0000  0.0000  0.0000 [2 per cell]
K  0.0000  0.2720  0.3776 [8 per cell]
I  0.0000  0.5000  0.0000 [2 per cell]
Br  0.0000  0.0000  0.2129 [4 per cell]
O  0.0000  0.5000  0.5000 [2 per cell]

# RbGa3Sn3

Crystalline RbGa3Sn3 at its relaxed geometry (PBE-GGA, Alexandria).

Values from the calculation:
Offset from the most stable computed form ... 0.057 eV/atom
Calculated formation energy ... 0.00 eV/atom
E_tot ... -3.15 eV per atom

Lattice parameters (Å, degrees): 10.8893 4.6485 10.8920 90.00 119.96 90.00
Space group P2_1/m (No. 11)
One atom of each set of equivalent atoms:
Rb  0.1667  0.2500  0.3332 [2 per cell]
Ga  0.0928  0.2500  0.6707 [2 per cell]
Ga  0.1711  0.7500  0.0776 [2 per cell]
Ga  0.4221  0.7500  0.5926 [2 per cell]
Sn  0.0998  0.2500  0.9286 [2 per cell]
Sn  0.1712  0.7500  0.5999 [2 per cell]
Sn  0.4288  0.7500  0.3286 [2 per cell]

# PmTm2Lu

Crystalline PmTm2Lu at its relaxed geometry (PBE-GGA, Alexandria).

Values from the calculation:
Offset from the most stable computed form ... 0.143 eV/atom
Calculated formation energy ... 0.17 eV/atom
E_tot ... -4.38 eV per atom

Lattice parameters (Å, degrees): 3.4311 3.4311 36.8060 90.00 90.00 120.00
Space group R-3m (No. 166, hexagonal axes)
One atom of each set of equivalent atoms:
Pm  0.0000  0.0000  0.0000 [3 per cell]
Tm  0.0000  0.0000  0.0915 [6 per cell]
Lu  0.0000  0.0000  0.5000 [3 per cell]

Number 1: mass density 7506 kg/m3, V 147 Å³ per cell. Number 2: mass density 2574 kg/m3, V 643 Å³ per cell. Number 3: mass density 4525 kg/m3, V 478 Å³ per cell. Number 4: mass density 8733 kg/m3, V 375 Å³ per cell.